Material: KHf2MnOs
Method: DFT, GGA-PBE
State: optimized geometry

The structure in POSCAR format:
```
KHf2MnOs
1.0
-1.425 4.389 1.178
-3.384 -0.574 -1.956
-2.002 -1.715 3.966
K Hf Mn Os
1 2 1 1
direct
0.000 0.000 0.000 K
0.000 0.000 0.500 Hf
0.500 0.000 0.000 Hf
0.000 0.500 0.000 Mn
0.500 0.500 0.500 Os
```

Fermi-level density of states   3.1 states/eV/f.u.
DFT formation energy   2333 meV per atom

=====

Material: K2Hf2MnS6
Method: DFT, GGA-PBE
State: optimized geometry

The structure in POSCAR format:
```
K2Hf2MnS6
1.0
6.173 0.008 0.034
-3.044 5.370 0.034
-1.136 -1.953 7.584
Hf K S Mn
2 2 6 1
direct
0.669 0.331 0.500 Hf
0.331 0.669 0.500 Hf
0.828 0.172 0.000 K
0.172 0.828 0.000 K
0.618 0.930 0.312 S
0.930 0.618 0.312 S
0.251 0.251 0.314 S
0.070 0.382 0.688 S
0.382 0.070 0.688 S
0.749 0.749 0.686 S
0.000 0.000 0.500 Mn
```

Fermi-level density of states   5.9 states/eV/f.u.
Energy relative to the elements, uncorrected   -1.29 eV per atom